VASP calculation (PBE) on a geometry-optimized La5Al15Cu4Au structure.

Unit cell a=4.3169 b=4.3169 c=27.0653 alpha=85.43 beta=85.43 gamma=90.00
Sites, in units of the cell vectors:
La: 0.6028 0.6028 0.7945
Al: 0.1525 0.6525 0.6949
Al: 0.8509 0.3509 0.2982
Al: 0.5179 0.5179 0.9642
Cu: 0.2747 0.2747 0.4507
Al: 0.9500 0.4500 0.1000
Al: 0.9189 0.9189 0.1622
Al: 0.5488 0.0488 0.9024
Cu: 0.6755 0.6755 0.6491
Al: 0.1219 0.1219 0.7562
La: 0.8015 0.8015 0.3970
Au: 0.0749 0.0749 0.8502
Al: 0.7207 0.7207 0.5586
La: 0.9997 0.9997 0.0006
Cu: 0.4729 0.4729 0.0543
Al: 0.3509 0.8509 0.2982
Al: 0.4500 0.9500 0.1000
Al: 0.2518 0.7518 0.4964
Al: 0.3198 0.3198 0.3603
La: 0.4006 0.4006 0.1987
Al: 0.6525 0.1525 0.6949
Al: 0.7518 0.2518 0.4964
Al: 0.0488 0.5488 0.9024
La: 0.2024 0.2024 0.5952
Cu: 0.8738 0.8738 0.2525

Calculated values
Total DFT energy (no corrections), eV per atom: -4.534
Formation energy from the elements, kJ/mol of atoms: -50